A geometry-optimized CaGaBiB2O7 structure. Source: Alexandria via LeMat-Bulk, functional PBE.

The space group is Cmm2 (No. 35) and the conventional cell measures 10.581, 10.586 and 4.841 Å, with angles of 90.00, 90.00 and 90.00 degrees. The asymmetric unit holds Ca at (0.163, 0.000, 0.000), Ga at (0.250, 0.250, 0.495), Bi at (0.000, 0.333, 0.991), B at (0.000, 0.131, 0.551), B at (0.134, 0.500, 0.439), O at (0.000, 0.000, 0.654), O at (0.000, 0.144, 0.257), O at (0.000, 0.500, 0.339), O at (0.114, 0.192, 0.702), O at (0.147, 0.500, 0.731) and O at (0.193, 0.386, 0.288).

As for the calculated density: 5.54 g/cm3. The calculation puts the raw total energy at -83.9 eV per formula unit.